Compound: GaMoN2O
Source: Alexandria
Functional: PBE+U
Structure: optimized geometry

## Properties
The total magnetization is 0.23 μB/atom. The value obtained for the density is 6.04 g/cm3. The total energy is -5.64 eV per atom.

Cell: 3.8665 3.8665 3.8585 Å, 90.00 90.00 90.00°
Closest atoms and distances in Å follow each position.
Atoms (fractional coordinates):
Ga: 0.0000 0.0000 0.0000  2 O 1.93, 4 N 1.93
Mo: 0.5000 0.5000 0.5000  8 N 2.73, 4 O 2.73
N: 0.0000 0.5000 0.0000  2 Ga 1.93
N: 0.5000 0.0000 0.0000  2 Ga 1.93
O: 0.0000 0.0000 0.5000  2 Ga 1.93